YCr2Rh | meta-GGA SCAN | PBEsol geometry

- Fermi-level density of states: 4.06 states/eV per cell
- Formation enthalpy at 0 K: 680 meV per atom

Cell: 9.362 9.362 9.362 Å, 16.84 16.84 16.84°
Element x y z (fractional)
1 Y 0.000 0.000 0.000
2 Cr 0.240 0.240 0.240
3 Cr 0.760 0.760 0.760
4 Rh 0.500 0.500 0.500